[1]
Computed, not measured: crystalline Ac8Os2F at its relaxed geometry at the PBE-GGA level of DFT.

Raw formation energy in eV/atom: -0.3978
Symmetry: C2/m, No. 12
Total magnetic moment in μB per atom: 0.0000
Calculated density in g/cm3: 9.0
Crystal system: monoclinic

Lattice parameters (Å, degrees): 8.275 8.275 6.285 92.95 92.95 72.82
Positions (direct):
Ac: 0.110 0.685 0.750
Ac: 0.187 0.187 0.758
Ac: 0.315 0.890 0.250
Ac: 0.379 0.379 0.290
Ac: 0.621 0.621 0.710
Ac: 0.685 0.110 0.750
Ac: 0.813 0.813 0.242
Ac: 0.890 0.315 0.250
Os: 0.409 0.409 0.812
Os: 0.591 0.591 0.188
F: 0.000 0.000 0.000

=====

[2]
Computed, not measured: crystalline PrHoSc2Au4 at its relaxed geometry at the PBE-GGA level of DFT.

ΔH_f (0 K) in eV per formula unit: -6.2
Symmetry: R-3m, No. 166
Total magnetic moment in μB per atom: 0.0000
Calculated density in g/cm3: 10.8
Crystal system: trigonal

Lattice parameters (Å, degrees): 9.427 9.427 9.427 29.70 29.70 29.70
Positions (direct):
Pr: 0.000 0.000 0.000
Ho: 0.500 0.500 0.500
Sc: 0.246 0.246 0.246
Sc: 0.754 0.754 0.754
Au: 0.118 0.118 0.118
Au: 0.392 0.392 0.392
Au: 0.608 0.608 0.608
Au: 0.882 0.882 0.882

=====

[3]
Computed, not measured: crystalline BaCaAl2 at its relaxed geometry at the PBE-GGA level of DFT.

ΔH_f (0 K) in eV per formula unit: 0.7
Symmetry: R-3m, No. 166
Total magnetic moment in μB per atom: 0.0000
Calculated density in g/cm3: 3.0
Crystal system: trigonal

Lattice parameters (Å, degrees): 10.655 10.655 10.655 20.50 20.50 20.50
Positions (direct):
Ba: 0.000 0.000 0.000
Ca: 0.500 0.500 0.500
Al: 0.244 0.244 0.244
Al: 0.756 0.756 0.756

=====

[4]
Computed, not measured: crystalline AsIrBr2 at its relaxed geometry at the PBE-GGA level of DFT.

Raw formation energy in eV/atom: -0.0285
Symmetry: Pm, No. 6
Total magnetic moment in μB per atom: 0.0000
Calculated density in g/cm3: 7.2
Crystal system: monoclinic

Lattice parameters (Å, degrees): 4.953 3.654 5.754 90.00 109.42 90.00
Positions (direct):
As: 0.000 0.000 0.000
Ir: 0.851 0.500 0.722
Br: 0.315 0.500 0.609
Br: 0.681 0.000 0.293

=====

[5]
Computed, not measured: crystalline Nd2DyPd2 at its relaxed geometry at the PBE-GGA level of DFT.

ΔH_f (0 K) in eV per formula unit: -3.3
Symmetry: C2/m, No. 12
Total magnetic moment in μB per atom: 0.0000
Calculated density in g/cm3: 8.4
Crystal system: monoclinic

Lattice parameters (Å, degrees): 6.844 6.844 11.477 117.63 117.63 33.93
Positions (direct):
Nd: 0.046 0.046 0.197
Nd: 0.171 0.171 0.577
Nd: 0.829 0.829 0.423
Nd: 0.954 0.954 0.803
Dy: 0.297 0.297 0.143
Dy: 0.703 0.703 0.857
Pd: 0.377 0.377 0.947
Pd: 0.484 0.484 0.618
Pd: 0.516 0.516 0.382
Pd: 0.623 0.623 0.053

=====

[6]
Computed, not measured: crystalline Cs2InNiRu at its relaxed geometry at the PBE-GGA level of DFT.

ΔH_f (0 K) in eV per formula unit: 6.8
Symmetry: P4/mmm, No. 123
Total magnetic moment in μB per atom: 0.6038
Calculated density in g/cm3: 3.6
Crystal system: tetragonal

Lattice parameters (Å, degrees): 7.156 7.156 4.863 90.00 90.00 90.00
Positions (direct):
Cs: 0.000 0.500 0.000
Cs: 0.500 0.000 0.000
In: 0.000 0.000 0.000
Ni: 0.000 0.000 0.500
Ru: 0.500 0.500 0.500

=====

[7]
Computed, not measured: crystalline BaOs2Rh at its relaxed geometry at the PBE-GGA level of DFT.

ΔH_f (0 K) in eV per formula unit: 3.9
Symmetry: Imm2, No. 44
Total magnetic moment in μB per atom: 0.0000
Calculated density in g/cm3: 11.1
Crystal system: orthorhombic

Lattice parameters (Å, degrees): 5.756 5.756 5.756 144.85 120.95 70.62
Positions (direct):
Ba: 0.000 0.000 0.000
Os: 0.502 0.502 0.000
Os: 0.673 0.173 0.500
Rh: 0.308 0.808 0.500

=====

[8]
Computed, not measured: crystalline TbDyCdSn at its relaxed geometry at the PBE-GGA level of DFT.

ΔH_f (0 K) in eV per formula unit: -2.0
Symmetry: F-43m, No. 216
Total magnetic moment in μB per atom: 0.0000
Calculated density in g/cm3: 8.8
Crystal system: cubic

Lattice parameters (Å, degrees): 5.291 5.291 5.291 60.00 60.00 60.00
Positions (direct):
Tb: 0.000 0.000 0.000
Dy: 0.500 0.500 0.500
Cd: 0.250 0.250 0.250
Sn: 0.750 0.750 0.750

=====

[9]
Computed, not measured: crystalline SrCaAl2Ir at its relaxed geometry at the PBE-GGA level of DFT.

ΔH_f (0 K) in eV per formula unit: -1.7
Symmetry: P4/mmm, No. 123
Total magnetic moment in μB per atom: 0.0000
Calculated density in g/cm3: 4.8
Crystal system: tetragonal

Lattice parameters (Å, degrees): 4.901 4.901 5.383 90.00 90.00 90.00
Positions (direct):
Sr: 0.000 0.000 0.000
Ca: 0.500 0.500 0.000
Al: 0.000 0.500 0.500
Al: 0.500 0.000 0.500
Ir: 0.500 0.500 0.500

=====

[10]
Computed, not measured: crystalline CdH2Pt at its relaxed geometry at the PBE-GGA level of DFT.

Energy in eV/f.u.: -13.3
Symmetry: I-42d, No. 122
Total magnetic moment in μB per atom: 0.0000
Calculated density in g/cm3: 10.9
Crystal system: tetragonal

Lattice parameters (Å, degrees): 5.560 5.560 5.560 131.38 131.38 71.21
Positions (direct):
Cd: 0.000 0.000 0.000
Cd: 0.750 0.250 0.500
H: 0.225 0.625 0.100
H: 0.375 0.475 0.600
H: 0.525 0.125 0.900
H: 0.875 0.775 0.400
Pt: 0.250 0.750 0.500
Pt: 0.500 0.500 0.000

=====

[11]
Computed, not measured: crystalline Ac2AlPt at its relaxed geometry at the PBE-GGA level of DFT.

ΔH_f (0 K) in eV per formula unit: -2.8
Symmetry: Amm2, No. 38
Total magnetic moment in μB per atom: 0.0000
Calculated density in g/cm3: 9.5
Crystal system: orthorhombic

Lattice parameters (Å, degrees): 4.414 6.038 6.038 47.54 90.00 90.00
Positions (direct):
Ac: 0.000 0.000 0.000
Ac: 0.500 0.294 0.294
Al: 0.000 0.699 0.699
Pt: 0.500 0.578 0.578

=====

[12]
Computed, not measured: crystalline LaAlGa4 at its relaxed geometry at the PBE-GGA level of DFT.

ΔH_f (0 K) in eV per formula unit: -1.6
Symmetry: Pbam, No. 55
Total magnetic moment in μB per atom: 0.0000
Calculated density in g/cm3: 5.8
Crystal system: orthorhombic

Lattice parameters (Å, degrees): 8.124 15.977 3.900 90.00 90.00 90.00
Positions (direct):
La: 0.135 0.151 0.000
La: 0.365 0.651 0.000
La: 0.635 0.349 0.000
La: 0.865 0.849 0.000
Al: 0.131 0.412 0.000
Al: 0.369 0.912 0.000
Al: 0.631 0.088 0.000
Al: 0.869 0.588 0.000
Ga: 0.018 0.697 0.500
Ga: 0.115 0.550 0.500
Ga: 0.133 0.966 0.500
Ga: 0.209 0.814 0.500
Ga: 0.291 0.314 0.500
Ga: 0.367 0.466 0.500
Ga: 0.385 0.050 0.500
Ga: 0.482 0.197 0.500
Ga: 0.518 0.803 0.500
Ga: 0.615 0.950 0.500
Ga: 0.633 0.534 0.500
Ga: 0.709 0.686 0.500
Ga: 0.791 0.186 0.500
Ga: 0.867 0.034 0.500
Ga: 0.885 0.450 0.500
Ga: 0.982 0.303 0.500